10
Lattice="-3.9968 3.2758 3.8585 -2.1858 -4.5489 -2.5384 1.1128 -2.2382 3.0526" Properties=species:S:1:pos:R:3 comment="SnHRh3 (PBE-GGA, relaxed)" e_tot_ev_per_atom=-6.116 n_ef_per_ev_cell=8.271 rho_g_cm3=11.0 pbc="T T T"
H -0.9415 -2.3645 2.7739
H -2.4609 0.4257 5.3735
Rh -1.3383 -6.0152 0.2420
Rh -1.6988 -0.9677 4.0742
Rh -2.9928 1.5407 3.8354
Rh -2.7919 -3.2421 2.8051
Rh -1.5176 -1.2379 1.2603
Rh -0.2494 -3.7461 1.5087
Sn -3.9765 -0.7549 2.5107
Sn -2.7198 -3.4914 0.0465

---

10
Lattice="4.8173 0.0050 -0.0038 1.6383 6.3970 -0.0062 -1.4674 1.6646 4.2760" Properties=species:S:1:pos:R:3 comment="SnHRh3 (PBE-GGA, relaxed)" e_tot_ev_per_atom=-6.077 n_ef_per_ev_cell=9.093 rho_g_cm3=10.8 pbc="T T T"
H 2.5155 1.1038 0.6573
H 0.5148 2.6151 1.6357
Rh 4.2545 1.2525 1.1355
Rh 1.1023 2.0775 3.2616
Rh 3.4224 6.2670 1.7066
Rh 4.1943 4.1243 0.0776
Rh 1.0274 4.9416 2.1844
Rh 1.8330 2.7469 0.5492
Sn 3.3939 3.6719 2.7412
Sn 0.3345 7.0442 3.8235

---

> Number 1 is which compound?

SnHRh3

---

> What is the formula in the second record?

SnHRh3